The following is a GGA-PBE calculation of an optimized crystal structure of ReP2SF, from the Alexandria database.

a b c (Å): 4.5613 4.4117 4.5613
angles (deg): 90.00 90.00 90.00
Last column: nearest neighbours and their distance in Å.
Fractional coordinates of all 5 atoms:
Re 0.0000 0.5000 0.0000  2 S 2.21
S 0.0000 0.0000 0.0000  2 Re 2.21, 4 P 2.28
F 0.5000 0.5000 0.5000  8 P 3.17, 4 Re 3.23
P 0.0000 0.0000 0.5000  2 S 2.28
P 0.5000 0.0000 0.0000  2 S 2.28

Properties
- uncorrected formation energy (meV/atom) = 1161
- SG = P4/mmm (123)
- E above lowest polymorph (kJ/mol of formula units) = 445
- crystal system = tetragonal

***

The following is a GGA-PBE calculation of an optimized crystal structure of SrCr2HgRh, from the Alexandria database.

a b c (Å): 4.8499 5.3054 4.8499
angles (deg): 90.00 90.00 90.00
Last column: nearest neighbours and their distance in Å.
Fractional coordinates of all 5 atoms:
Sr 0.5000 0.5000 0.5000  4 Hg 3.43, 8 Cr 3.59
Rh 0.0000 0.0000 0.0000  4 Cr 2.42, 2 Hg 2.65
Hg 0.0000 0.5000 0.0000  2 Rh 2.65
Cr 0.0000 0.0000 0.5000  2 Rh 2.42
Cr 0.5000 0.0000 0.0000  2 Rh 2.42

Properties
- SG = P4/mmm (123)
- energy relative to the elements (eV per atom) = 0.48
- crystal system = tetragonal

***

The following is a GGA-PBE calculation of an optimized crystal structure of Ca11Mn2N10, from the Alexandria database.

a b c (Å): 6.1360 6.1360 12.3824
angles (deg): 91.62 91.62 117.46
Last column: nearest neighbours and their distance in Å.
Fractional coordinates of all 23 atoms:
Ca 0.4327 0.8654 0.8773  2 N 2.32-2.39
Ca 0.8872 0.4939 0.1295  3 N 2.32-2.50
Ca 0.0585 0.4463 0.6209  4 N 2.40-2.49
Ca 0.4401 0.4401 0.3742  5 N 2.45-2.62
Ca 0.0338 0.6479 0.3908  5 N 2.38-2.58
Ca 0.2380 0.2380 0.0112  2 N 2.31
Ca 0.4939 0.8872 0.1295  3 N 2.32-2.50
Ca 0.4463 0.0585 0.6209  4 N 2.40-2.49
Ca 0.6545 0.6545 0.6287  5 N 2.40-2.61
Ca 0.8654 0.4327 0.8773  2 N 2.32-2.39
Ca 0.6479 0.0338 0.3908  5 N 2.38-2.58
Mn 0.0601 0.0601 0.7593  3 N 1.69-1.75
Mn 0.0281 0.0281 0.2511  3 N 1.71-1.76
N 0.0641 0.7782 0.7406  1 Mn 1.75
N 0.3183 0.3183 0.7334  1 Mn 1.69
N 0.0076 0.2927 0.2762  1 Mn 1.71
N 0.3786 0.7111 0.5048  6 Ca 2.38-2.45
N 0.5981 0.2050 0.0069  5 Ca 2.31-2.39
N 0.7111 0.3786 0.5048  6 Ca 2.38-2.45
N 0.2050 0.5981 0.0069  5 Ca 2.31-2.39
N 0.7544 0.7544 0.2667  1 Mn 1.76
N 0.2927 0.0076 0.2762  1 Mn 1.71
N 0.7782 0.0641 0.7406  1 Mn 1.75

Properties
- uncorrected formation energy (meV/atom) = -799
- SG = Cm (8)
- crystal system = monoclinic

***

In Bohr magnetons per cell, the M_tot values for the records above are, in order, 1.9; 7.5; 2.0.